VASP calculation (PBE-GGA) on a geometry-optimized Tm12Co5Hg structure.

Values from the calculation:
**Density of states at the Fermi level**: 17.43 states/eV per cell
**Calculated total energy**: -94.30 eV/cell
**Magnetic moment**: 0.00 μB per formula unit

Cell: 8.1218 8.1218 8.1218 Å, 106.72 110.63 111.09°
Fractional coordinates of all 18 atoms:
Tm (0.8078, 0.5914, 0.7836)
Tm (0.8983, 0.1844, 0.7140)
Co (0.5000, 0.1137, 0.6137)
Tm (0.5296, 0.8156, 0.7140)
Tm (0.1922, 0.4086, 0.2164)
Tm (0.3042, 0.6844, 0.9887)
Tm (0.6958, 0.3156, 0.0113)
Tm (0.6958, 0.6844, 0.3802)
Tm (0.4704, 0.1844, 0.2860)
Co (0.0000, 0.0000, 0.0000)
Co (0.5000, 0.8863, 0.3863)
Hg (0.0000, 0.5000, 0.5000)
Tm (0.1017, 0.8156, 0.2860)
Tm (0.3042, 0.3156, 0.6198)
Co (0.3740, 0.3740, 0.0000)
Co (0.6260, 0.6260, 0.0000)
Tm (0.1922, 0.9757, 0.7836)
Tm (0.8078, 0.0243, 0.2164)


VASP calculation (PBE-GGA) on a geometry-optimized Tm6Co2Hg structure.

Values from the calculation:
**Density of states at the Fermi level**: 18.75 states/eV per cell
**Calculated total energy**: -87.84 eV/cell
**Magnetic moment**: 0.00 μB per formula unit

Cell: 8.2236 8.2236 8.2236 Å, 106.50 110.14 111.83°
Fractional coordinates of all 18 atoms:
Co (0.5000, 0.3862, 0.8862)
Tm (0.6983, 0.3817, 0.6834)
Tm (0.3017, 0.6183, 0.3166)
Tm (0.5225, 0.7099, 0.8126)
Co (0.5000, 0.6138, 0.1138)
Tm (0.7912, 0.7705, 0.5617)
Tm (0.2088, 0.7705, 0.9793)
Tm (0.8973, 0.7099, 0.1874)
Hg (0.0000, 0.0000, 0.0000)
Tm (0.6983, 0.0148, 0.3166)
Tm (0.1027, 0.2901, 0.8126)
Tm (0.7912, 0.2295, 0.0207)
Co (0.3777, 0.0000, 0.3777)
Tm (0.3017, 0.9852, 0.6834)
Co (0.6223, 0.0000, 0.6223)
Tm (0.2088, 0.2295, 0.4383)
Hg (0.0000, 0.5000, 0.5000)
Tm (0.4775, 0.2901, 0.1874)


VASP calculation (PBE-GGA) on a geometry-optimized Tm4CoHg structure.

Values from the calculation:
**Density of states at the Fermi level**: 16.00 states/eV per cell
**Calculated total energy**: -108.84 eV/cell
**Magnetic moment**: 0.00 μB per formula unit
**Distance to the lowest polymorph of the same formula**: 0 meV/atom

Cell: 9.3279 9.3279 9.3279 Å, 60.00 60.00 60.00°
Fractional coordinates of all 24 atoms:
Tm (0.5615, 0.9385, 0.5615)
Co (0.6087, 0.6087, 0.1740)
Tm (0.1885, 0.8115, 0.8115)
Tm (0.9385, 0.5615, 0.5615)
Hg (0.1658, 0.1658, 0.1658)
Tm (0.4022, 0.4022, 0.7934)
Co (0.1740, 0.6087, 0.6087)
Hg (0.5025, 0.1658, 0.1658)
Tm (0.9385, 0.5615, 0.9385)
Hg (0.1658, 0.5025, 0.1658)
Co (0.6087, 0.1740, 0.6087)
Tm (0.8115, 0.1885, 0.8115)
Tm (0.1885, 0.8115, 0.1885)
Tm (0.5615, 0.5615, 0.9385)
Tm (0.8115, 0.8115, 0.1885)
Tm (0.9385, 0.9385, 0.5615)
Tm (0.4022, 0.7934, 0.4022)
Tm (0.4022, 0.4022, 0.4022)
Tm (0.7934, 0.4022, 0.4022)
Tm (0.1885, 0.1885, 0.8115)
Tm (0.8115, 0.1885, 0.1885)
Hg (0.1658, 0.1658, 0.5025)
Co (0.6087, 0.6087, 0.6087)
Tm (0.5615, 0.9385, 0.9385)


VASP calculation (PBE-GGA) on a geometry-optimized Tm2CoHg structure.

Values from the calculation:
**Density of states at the Fermi level**: 2.70 states/eV per cell
**Calculated total energy**: -16.56 eV/cell
**Magnetic moment**: 0.00 μB per formula unit
**Distance to the lowest polymorph of the same formula**: 319 meV/atom

Cell: 3.7454 3.7454 9.4980 Å, 78.63 78.63 60.00°
Fractional coordinates of all 4 atoms:
Co (0.5000, 0.5000, 0.5000)
Tm (0.1150, 0.1150, 0.6551)
Tm (0.8850, 0.8850, 0.3449)
Hg (0.0000, 0.0000, 0.0000)


VASP calculation (PBE-GGA) on a geometry-optimized Tm2ZnCoHg structure.

Values from the calculation:
**Density of states at the Fermi level**: 6.36 states/eV per cell
**Calculated total energy**: -38.97 eV/cell
**Magnetic moment**: 0.00 μB per formula unit

Cell: 3.7703 7.9830 7.7938 Å, 115.83 90.00 90.00°
Fractional coordinates of all 10 atoms:
Tm (0.2500, 0.1064, 0.3397)
Tm (0.2500, 0.2918, 0.0009)
Tm (0.7500, 0.8936, 0.6603)
Co (0.7500, 0.0868, 0.0799)
Tm (0.7500, 0.7082, 0.9991)
Hg (0.7500, 0.3039, 0.6868)
Hg (0.2500, 0.6961, 0.3132)
Zn (0.2500, 0.5812, 0.6464)
Zn (0.7500, 0.4188, 0.3536)
Co (0.2500, 0.9132, 0.9201)


VASP calculation (PBE-GGA) on a geometry-optimized TmZrCoHg structure.

Values from the calculation:
**Density of states at the Fermi level**: 4.24 states/eV per cell
**Calculated total energy**: -20.90 eV/cell
**Magnetic moment**: 0.67 μB per formula unit

Cell: 4.8680 4.8680 4.8680 Å, 60.00 60.00 60.00°
Last column: magnetic moment on the atom in μB.
Fractional coordinates of all 4 atoms:
Zr (0.5000, 0.5000, 0.5000)  -0.20
Tm (0.0000, 0.0000, 0.0000)  -0.14
Co (0.2500, 0.2500, 0.2500)  1.14
Hg (0.7500, 0.7500, 0.7500)  0.01


VASP calculation (PBE-GGA) on a geometry-optimized VCoHg2 structure.

Values from the calculation:
**Density of states at the Fermi level**: 13.53 states/eV per cell
**Calculated total energy**: -27.32 eV/cell
**Magnetic moment**: 4.47 μB per formula unit
**Distance to the lowest polymorph of the same formula**: 290 meV/atom

Cell: 7.3479 7.3479 5.9249 Å, 51.68 51.68 90.00°
Last column: magnetic moment on the atom in μB.
Fractional coordinates of all 8 atoms:
Co (0.0000, 0.0000, 0.0000)  1.61
Co (0.7500, 0.2500, 0.5000)  1.61
Hg (0.3750, 0.3513, 0.7500)  0.02
V (0.5000, 0.5000, 0.0000)  2.40
Hg (0.1013, 0.6250, 0.2500)  0.02
Hg (0.8750, 0.8987, 0.7500)  0.02
V (0.2500, 0.7500, 0.5000)  2.40
Hg (0.6487, 0.1250, 0.2500)  0.02


VASP calculation (PBE-GGA) on a geometry-optimized VCoHg structure.

Values from the calculation:
**Density of states at the Fermi level**: 5.92 states/eV per cell
**Calculated total energy**: -30.10 eV/cell
**Magnetic moment**: 0.48 μB per formula unit

Cell: 4.9032 4.8794 5.7079 Å, 77.54 64.56 59.84°
Last column: magnetic moment on the atom in μB.
Fractional coordinates of all 6 atoms:
Hg (0.1699, 0.6603, 0.0000)  -0.01
V (0.7500, 0.5000, 0.5000)  -0.19
Co (0.7820, 0.0000, 0.4359)  0.71
Co (0.2180, 0.0000, 0.5641)  0.71
Hg (0.8301, 0.3397, 0.0000)  -0.01
V (0.2500, 0.5000, 0.5000)  -0.19